Compound: SrDyZn4
Source: the Alexandria database
Functional: GGA-PBE
Structure: optimized geometry

abc: 5.6087 5.6087 5.6087
angles: 60.00 60.00 60.00
Closest atoms and distances in Å follow each position.
Element x y z (fractional)
Sr: 0.0000 0.0000 0.0000  12 Zn 3.29, 4 Dy 3.43
Dy: 0.7500 0.7500 0.7500  12 Zn 3.28, 4 Sr 3.43
Zn: 0.3766 0.3766 0.3766  6 Zn 2.77-2.84
Zn: 0.3766 0.3766 0.8703  6 Zn 2.77-2.84
Zn: 0.3766 0.8703 0.3766  6 Zn 2.77-2.84
Zn: 0.8703 0.3766 0.3766  6 Zn 2.77-2.84

symmetry = F-43m, No. 216
DOS at the Fermi energy = 4.27 states/eV per cell
ΔH_f (0 K) = -0.20 eV/atom